1.
PBE AcZn3, optimized geometry; space-group type = P4mm, No. 99; energy of formation from the pure elements = -0.102 eV per atom
1.0
4.1534 0.0000 0.0000
0.0000 4.1534 0.0000
0.0000 0.0000 5.6466
Ac Zn
1 3
Direct
0.0000 0.0000 0.0000
0.0000 0.5000 0.5295
0.5000 0.0000 0.5295
0.5000 0.5000 0.2518

---

2.
PBE AcZn3, optimized geometry; space-group type = Pm-3m, No. 221; energy of formation from the pure elements = -0.034 eV per atom
1.0
4.6083 0.0000 0.0000
0.0000 4.6083 0.0000
0.0000 0.0000 4.6083
Ac Zn
1 3
Direct
0.0000 0.0000 0.0000
0.0000 0.5000 0.5000
0.5000 0.0000 0.5000
0.5000 0.5000 0.0000

---

3.
PBE Ac2Zn7, optimized geometry; space-group type = R-3m, No. 166; energy of formation from the pure elements = -0.242 eV per atom
1.0
2.8676 1.6556 13.2039
-2.8676 1.6556 13.2039
0.0000 -3.3112 13.2039
Ac Zn
4 14
Direct
0.0517 0.0517 0.0517
0.1497 0.1497 0.1497
0.8503 0.8503 0.8503
0.9483 0.9483 0.9483
0.0000 0.5000 0.5000
0.1078 0.6070 0.6070
0.2800 0.2800 0.2800
0.3875 0.3875 0.3875
0.3930 0.3930 0.8922
0.3930 0.8922 0.3930
0.5000 0.0000 0.5000
0.5000 0.5000 0.0000
0.5000 0.5000 0.5000
0.6070 0.1078 0.6070
0.6070 0.6070 0.1078
0.6125 0.6125 0.6125
0.7200 0.7200 0.7200
0.8922 0.3930 0.3930

---

4.
PBE Ac6Zn5, optimized geometry; space-group type = Immm, No. 71; energy of formation from the pure elements = -0.184 eV per atom
1.0
-2.7483 3.9065 8.2404
2.7483 -3.9065 8.2404
2.7483 3.9065 -8.2404
Ac Zn
6 5
Direct
0.0846 0.3342 0.7505
0.2491 0.0000 0.2491
0.4163 0.6658 0.7505
0.5837 0.3342 0.2495
0.7509 0.0000 0.7509
0.9154 0.6658 0.2495
0.0000 0.5000 0.5000
0.1668 0.1668 0.0000
0.3313 0.8313 0.5000
0.6687 0.1687 0.5000
0.8332 0.8332 0.0000

---

5.
PBE AcZn2, optimized geometry; excess energy over the best structure of this formula in the dataset = 73 meV/atom; space-group type = Fd-3m, No. 227; energy of formation from the pure elements = -0.229 eV per atom
1.0
0.0000 4.1340 4.1340
4.1340 0.0000 4.1340
4.1340 4.1340 0.0000
Ac Zn
2 4
Direct
0.1250 0.1250 0.1250
0.8750 0.8750 0.8750
0.0000 0.5000 0.5000
0.5000 0.0000 0.5000
0.5000 0.5000 0.0000
0.5000 0.5000 0.5000

---

6.
PBE Ac4Zn, optimized geometry; excess energy over the best structure of this formula in the dataset = 154 meV/atom; space-group type = Pm-3m, No. 221; energy of formation from the pure elements = 0.126 eV per atom
1.0
6.0605 0.0000 0.0000
0.0000 6.0605 0.0000
0.0000 0.0000 6.0605
Ac Zn
4 1
Direct
0.0000 0.0000 0.0000
0.0000 0.5000 0.5000
0.5000 0.0000 0.5000
0.5000 0.5000 0.0000
0.5000 0.5000 0.5000

---

Question: What is the energy of formation from the pure elements in the first record?
Answer: -0.102 eV per atom

---

Question: What is the energy of formation from the pure elements in the sixth record?
Answer: 0.126 eV per atom